Entry 1:
This record from Alexandria via LeMat-Bulk describes ZrInI after structural relaxation. The functional is PBE.

Output
- VASP energy (eV per atom) = -4.6634
- N(E_F) (states/eV per atom) = 0.159
- formation energy without anion corrections (kJ/mol of atoms) = -37.1
- mass density (g cm⁻³) = 6.3

The structure in POSCAR format:
```
ZrInI
1.0
3.653 0.000 0.000
-1.077 3.492 0.000
-0.931 -0.954 13.861
Zr In I
2 2 2
direct
0.185 0.189 0.293
0.815 0.811 0.707
0.273 0.267 0.567
0.727 0.733 0.433
0.497 0.214 0.847
0.503 0.786 0.153
```

***

Entry 2:
This record from Alexandria via LeMat-Bulk describes ZrIn2I7 after structural relaxation. The functional is PBE.

Output
- VASP energy (eV per atom) = -3.1039
- N(E_F) (states/eV per atom) = 0.337
- formation energy without anion corrections (kJ/mol of atoms) = -59.5
- mass density (g cm⁻³) = 3.8

The structure in POSCAR format:
```
ZrIn2I7
1.0
7.678 -5.855 0.000
7.678 5.855 0.000
-7.322 0.000 11.848
Zr In I
2 4 14
direct
0.215 0.785 0.750
0.785 0.215 0.250
0.193 0.787 0.032
0.213 0.807 0.468
0.787 0.193 0.532
0.807 0.213 0.968
0.005 0.641 0.768
0.053 0.160 0.440
0.160 0.053 0.940
0.264 0.736 0.250
0.323 0.546 0.584
0.359 0.995 0.732
0.454 0.677 0.916
0.546 0.323 0.084
0.641 0.005 0.268
0.677 0.454 0.416
0.736 0.264 0.750
0.840 0.947 0.060
0.947 0.840 0.560
0.995 0.359 0.232
```

***

Entry 3:
This record from Alexandria via LeMat-Bulk describes Zr2InI after structural relaxation. The functional is PBE.

Output
- VASP energy (eV per atom) = -5.3140
- N(E_F) (states/eV per atom) = 2.201
- formation energy without anion corrections (kJ/mol of atoms) = 3.1
- mass density (g cm⁻³) = 7.5

The structure in POSCAR format:
```
Zr2InI
1.0
0.000 3.601 3.601
3.601 0.000 3.601
3.601 3.601 0.000
Zr In I
2 1 1
direct
0.250 0.250 0.250
0.750 0.750 0.750
0.000 0.000 0.000
0.500 0.500 0.500
```

***

Entry 4:
This record from Alexandria via LeMat-Bulk describes ZrInI after structural relaxation. The functional is PBE.

Output
- VASP energy (eV per atom) = -4.6687
- N(E_F) (states/eV per atom) = 0.603
- formation energy without anion corrections (kJ/mol of atoms) = -37.6
- mass density (g cm⁻³) = 6.3

The structure in POSCAR format:
```
ZrInI
1.0
3.122 -1.783 0.000
3.122 1.783 0.000
-0.515 0.000 15.788
Zr In I
2 2 2
direct
0.000 0.000 0.000
0.634 0.634 0.475
0.298 0.298 0.328
0.338 0.338 0.147
0.312 0.312 0.605
0.657 0.657 0.871
```

***

Entry 5:
This record from Alexandria via LeMat-Bulk describes ZrInI after structural relaxation. The functional is PBE.

Output
- VASP energy (eV per atom) = -4.6094
- N(E_F) (states/eV per atom) = 0.479
- formation energy without anion corrections (kJ/mol of atoms) = -31.9
- mass density (g cm⁻³) = 5.8

The structure in POSCAR format:
```
ZrInI
1.0
3.687 0.000 0.000
0.000 4.322 0.000
-0.014 -2.148 11.875
Zr In I
2 2 2
direct
0.000 0.000 0.000
0.001 0.662 0.326
0.500 0.545 0.090
0.501 0.124 0.250
0.502 0.757 0.518
0.999 0.412 0.822
```

***

Entry 6:
This record from Alexandria via LeMat-Bulk describes Zr2In2I after structural relaxation. The functional is PBE.

Output
- VASP energy (eV per atom) = -4.9236
- N(E_F) (states/eV per atom) = 0.846
- formation energy without anion corrections (kJ/mol of atoms) = -9.5
- mass density (g cm⁻³) = 7.1

The structure in POSCAR format:
```
Zr2In2I
1.0
7.685 0.000 0.000
0.000 7.685 0.000
0.000 0.000 4.291
Zr In I
4 4 2
direct
0.142 0.358 0.000
0.358 0.858 0.000
0.642 0.142 0.000
0.858 0.642 0.000
0.154 0.654 0.500
0.346 0.154 0.500
0.654 0.846 0.500
0.846 0.346 0.500
0.000 0.000 0.000
0.500 0.500 0.000
```

***

Entry 7:
This record from Alexandria via LeMat-Bulk describes ZrInI after structural relaxation. The functional is PBE.

Output
- VASP energy (eV per atom) = -4.5518
- N(E_F) (states/eV per atom) = 0.650
- formation energy without anion corrections (kJ/mol of atoms) = -26.3
- mass density (g cm⁻³) = 5.3

The structure in POSCAR format:
```
ZrInI
1.0
5.467 -1.786 0.000
5.467 1.786 0.000
-3.664 0.000 10.586
Zr In I
2 2 2
direct
0.186 0.186 0.137
0.814 0.814 0.863
0.442 0.442 0.098
0.558 0.558 0.902
0.190 0.190 0.656
0.810 0.810 0.344
```

***

Entry 8:
This record from Alexandria via LeMat-Bulk describes ZrInI after structural relaxation. The functional is PBE.

Output
- VASP energy (eV per atom) = -4.6649
- N(E_F) (states/eV per atom) = 0.100
- formation energy without anion corrections (kJ/mol of atoms) = -37.2
- mass density (g cm⁻³) = 6.4

The structure in POSCAR format:
```
ZrInI
1.0
2.936 -2.170 0.000
2.936 2.170 0.000
-1.133 0.000 13.635
Zr In I
2 2 2
direct
0.205 0.205 0.290
0.795 0.795 0.710
0.262 0.262 0.568
0.738 0.738 0.432
0.188 0.188 0.853
0.812 0.812 0.147
```

***

Entry 9:
This record from Alexandria via LeMat-Bulk describes IrI2 after structural relaxation. The functional is PBE.

Output
- VASP energy (eV per atom) = -3.7463
- N(E_F) (states/eV per atom) = 0.529
- formation energy without anion corrections (kJ/mol of atoms) = 23.2
- mass density (g cm⁻³) = 8.0

The structure in POSCAR format:
```
IrI2
1.0
3.930 -3.934 0.000
3.930 3.934 0.000
-3.896 0.000 5.981
Ir I
2 4
direct
0.127 0.873 0.750
0.873 0.127 0.250
0.091 0.345 0.692
0.345 0.091 0.192
0.655 0.909 0.808
0.909 0.655 0.308
```

***

Entry 10:
This record from Alexandria via LeMat-Bulk describes IrI after structural relaxation. The functional is PBE.

Output
- VASP energy (eV per atom) = -4.1483
- N(E_F) (states/eV per atom) = 1.001
- formation energy without anion corrections (kJ/mol of atoms) = 102.0
- mass density (g cm⁻³) = 7.9

The structure in POSCAR format:
```
IrI
1.0
7.372 0.000 0.000
0.000 7.372 0.000
0.000 0.000 7.372
Ir I
6 6
direct
0.000 0.250 0.500
0.000 0.750 0.500
0.250 0.500 0.000
0.500 0.000 0.250
0.500 0.000 0.750
0.750 0.500 0.000
0.000 0.500 0.250
0.000 0.500 0.750
0.250 0.000 0.500
0.500 0.250 0.000
0.500 0.750 0.000
0.750 0.000 0.500
```

***

Entry 11:
This record from Alexandria via LeMat-Bulk describes IrI after structural relaxation. The functional is PBE.

Output
- VASP energy (eV per atom) = -4.8882
- N(E_F) (states/eV per atom) = 1.788
- formation energy without anion corrections (kJ/mol of atoms) = 30.6
- mass density (g cm⁻³) = 7.7

The structure in POSCAR format:
```
IrI
1.0
-6.052 6.052 1.875
6.052 -6.052 1.875
6.052 6.052 -1.875
Ir I
4 4
direct
0.033 0.394 0.427
0.394 0.967 0.361
0.606 0.033 0.639
0.967 0.606 0.573
0.253 0.580 0.832
0.420 0.253 0.673
0.580 0.747 0.327
0.747 0.420 0.168
```

***

Entry 12:
This record from Alexandria via LeMat-Bulk describes IrI after structural relaxation. The functional is PBE.

Output
- VASP energy (eV per atom) = -4.2423
- N(E_F) (states/eV per atom) = 0.885
- formation energy without anion corrections (kJ/mol of atoms) = 92.9
- mass density (g cm⁻³) = 10.1

The structure in POSCAR format:
```
IrI
1.0
4.007 0.000 0.000
-2.004 3.470 0.000
0.000 0.000 7.558
Ir I
2 2
direct
0.333 0.667 0.000
0.667 0.333 0.500
0.333 0.667 0.654
0.667 0.333 0.154
```

***

Among the records above, which one has the lowest VASP energy?
Zr2InI

***

N(E_F) of number 3 (Zr2InI)?
2.201 states/eV per atom